[1]
First-principles (PBE) data for a geometry-optimized Gd2PuBi structure, as listed in Alexandria via LeMat-Bulk.

abc: 4.043 4.043 7.349
angles: 90.00 90.00 90.00
Positions (direct):
Gd 0.000 0.000 0.233
Gd 0.000 0.000 0.767
Pu 0.500 0.500 0.500
Bi 0.500 0.500 0.000

## Properties
SG: P4/mmm
Crystal system: tetragonal
Calculated total energy (eV per atom): -11.873
Energy above the lowest structure with this stoichiometry (meV per atom): 41
Calculated formation energy (eV/atom): -0.279

[2]
First-principles (PBE) data for a geometry-optimized BaSrH structure, as listed in Alexandria via LeMat-Bulk.

abc: 4.178 4.178 6.838
angles: 90.00 90.00 120.00
Positions (direct):
Ba 0.000 0.000 0.000
Sr 0.333 0.667 0.467
H 0.667 0.333 0.241

## Properties
SG: P3m1
Crystal system: trigonal
Calculated total energy (eV per atom): -2.464
Energy above the lowest structure with this stoichiometry (meV per atom): 83

[3]
First-principles (PBE) data for a geometry-optimized InRhI2O structure, as listed in Alexandria via LeMat-Bulk.

abc: 5.836 5.836 3.792
angles: 90.00 90.00 90.00
Positions (direct):
In 0.000 0.000 0.000
Rh 0.500 0.500 0.500
I 0.000 0.500 0.500
I 0.500 0.000 0.500
O 0.500 0.500 0.000

## Properties
SG: P4/mmm
Crystal system: tetragonal
Energy relative to the elements, uncorrected (eV per atom): -0.28
Calculated total energy (eV per atom): -3.906
Energy above the lowest structure with this stoichiometry (meV per atom): 0

[4]
First-principles (PBE) data for a geometry-optimized Dy3As4Pd7 structure, as listed in Alexandria via LeMat-Bulk.

abc: 8.130 8.130 9.613
angles: 124.47 124.47 29.44
Positions (direct):
Dy 0.000 0.000 0.000
Dy 0.321 0.321 0.327
Dy 0.679 0.679 0.673
As 0.106 0.106 0.823
As 0.341 0.341 0.748
As 0.659 0.659 0.252
As 0.894 0.894 0.177
Pd 0.000 0.000 0.500
Pd 0.166 0.166 0.427
Pd 0.306 0.306 0.975
Pd 0.487 0.487 0.705
Pd 0.513 0.513 0.295
Pd 0.694 0.694 0.025
Pd 0.834 0.834 0.573

## Properties
SG: C2/m
Crystal system: monoclinic
Calculated total energy (eV per atom): -5.831
Calculated formation energy (eV/atom): -0.920